1.
# Dy5Y6Er2

Dy5Y6Er2 after structural relaxation (GGA-PBE, Alexandria). Values from VASP.

```
&SYSTEM
  ibrav = 0, nat = 26, ntyp = 3
/
ATOMIC_SPECIES
Dy 162.50 Dy.upf
Y 88.91 Y.upf
Er 167.26 Er.upf
ATOMIC_POSITIONS angstrom
Dy 0.000 0.000 0.000
Dy 1.034 5.509 0.000
Dy 2.314 11.130 0.000
Dy 3.500 1.008 0.000
Dy 4.780 15.631 0.000
Dy 5.814 10.122 0.000
Dy 6.849 4.613 0.000
Dy 8.128 19.237 0.000
Dy 9.315 9.115 0.000
Dy 10.595 14.735 0.000
Y 0.671 8.472 1.783
Y 0.982 2.645 1.783
Y 2.011 17.477 0.000
Y 3.804 7.355 0.000
Y 4.832 12.767 1.783
Y 5.143 18.594 1.783
Y 6.486 1.650 1.783
Y 6.797 7.477 1.783
Y 7.825 12.889 0.000
Y 9.618 2.767 0.000
Y 10.646 17.599 1.783
Y 10.958 11.772 1.783
Er 1.939 14.352 1.783
Er 3.875 4.230 1.783
Er 7.754 16.014 1.783
Er 9.690 5.892 1.783
CELL_PARAMETERS angstrom
11.629 0.000 0.000
0.000 20.244 0.000
0.000 0.000 3.567
```

Properties
E_form = 0.102 eV per atom
D(E_F) = 33.325 states/eV per cell
total moment = 0.000 μB per cell
symmetry = Pbam, No. 55

=====

2.
# Dy2Y9Er

Dy2Y9Er after structural relaxation (GGA-PBE, Alexandria). Values from VASP.

```
&SYSTEM
  ibrav = 0, nat = 12, ntyp = 3
/
ATOMIC_SPECIES
Dy 162.50 Dy.upf
Y 88.91 Y.upf
Er 167.26 Er.upf
ATOMIC_POSITIONS angstrom
Dy 0.000 0.000 2.523
Dy 0.000 0.000 12.592
Y 0.000 2.519 0.000
Y 0.000 2.519 5.045
Y 0.000 2.519 10.070
Y 2.519 0.000 0.000
Y 2.519 0.000 5.045
Y 2.519 0.000 10.070
Y 2.519 2.519 2.524
Y 2.519 2.519 7.557
Y 2.519 2.519 12.591
Er 0.000 0.000 7.557
CELL_PARAMETERS angstrom
5.037 0.000 0.000
0.000 5.037 0.000
0.000 0.000 15.115
```

Properties
E_form = 0.025 eV per atom
D(E_F) = 18.154 states/eV per cell
total moment = 0.000 μB per cell
symmetry = P4/mmm, No. 123

=====

3.
# Dy15Y4Er

Dy15Y4Er after structural relaxation (GGA-PBE, Alexandria). Values from VASP.

```
&SYSTEM
  ibrav = 0, nat = 20, ntyp = 3
/
ATOMIC_SPECIES
Dy 162.50 Dy.upf
Y 88.91 Y.upf
Er 167.26 Er.upf
ATOMIC_POSITIONS angstrom
Dy 0.000 0.000 0.000
Dy 0.000 0.000 5.004
Dy 0.000 0.000 10.031
Dy 0.000 0.000 15.051
Dy 0.000 0.000 20.078
Dy 0.000 2.509 2.489
Dy 0.000 2.509 7.519
Dy 0.000 2.509 12.541
Dy 0.000 2.509 17.563
Dy 0.000 2.509 22.594
Dy 2.509 0.000 2.489
Dy 2.509 0.000 7.519
Dy 2.509 0.000 12.541
Dy 2.509 0.000 17.563
Dy 2.509 0.000 22.594
Y 2.509 2.509 5.007
Y 2.509 2.509 10.031
Y 2.509 2.509 15.052
Y 2.509 2.509 20.075
Er 2.509 2.509 0.000
CELL_PARAMETERS angstrom
5.017 0.000 0.000
0.000 5.017 0.000
0.000 0.000 25.082
```

Properties
E_form = 0.020 eV per atom
D(E_F) = 26.503 states/eV per cell
total moment = 0.000 μB per cell
symmetry = P4/mmm, No. 123

=====

4.
# Dy3Y7Er2

Dy3Y7Er2 after structural relaxation (GGA-PBE, Alexandria). Values from VASP.

```
&SYSTEM
  ibrav = 0, nat = 12, ntyp = 3
/
ATOMIC_SPECIES
Dy 162.50 Dy.upf
Y 88.91 Y.upf
Er 167.26 Er.upf
ATOMIC_POSITIONS angstrom
Dy 0.000 0.000 0.000
Dy -0.894 1.756 11.404
Dy 5.387 1.756 5.930
Y 1.123 1.756 2.885
Y 0.632 0.000 8.698
Y 0.214 0.000 14.409
Y 3.163 1.756 0.000
Y 4.279 0.000 2.925
Y 3.861 0.000 8.636
Y 3.370 1.756 14.449
Er 2.189 0.000 5.669
Er 2.304 0.000 11.666
CELL_PARAMETERS angstrom
6.326 0.000 0.000
0.000 3.513 0.000
-1.833 0.000 17.334
```

Properties
E_form = 0.082 eV per atom
D(E_F) = 18.621 states/eV per cell
total moment = 0.000 μB per cell
symmetry = P2/m, No. 10